An optimized crystal structure of LiHo3Pu3S8. Source: the Alexandria database, functional PBE-GGA.

Cell and atoms, written as POSCAR:
```
LiHo3Pu3S8
1.0
7.802 0.000 -0.006
-3.902 6.758 -0.024
-0.005 -4.486 6.399
Ho Pu S Li
3 3 8 1
Direct
0.500 0.000 0.500
0.500 0.500 0.500
0.000 0.500 0.500
0.000 0.000 0.000
0.000 0.500 0.000
0.500 0.500 0.000
0.749 0.497 0.745
0.755 0.005 0.260
0.245 0.995 0.740
0.754 0.510 0.260
0.246 0.490 0.740
0.248 0.002 0.256
0.251 0.503 0.255
0.752 0.998 0.744
0.000 0.000 0.500
```

Values from the calculation:
- Space group: C2/m (12)
- Final energy: -118.773 eV/f.u.
- N(E_F): 2.3777 states/eV per atom

An optimized crystal structure of Rb2SrBiF. Source: the Alexandria database, functional PBE-GGA.

Cell and atoms, written as POSCAR:
```
Rb2SrBiF
1.0
5.387 0.000 0.000
0.000 5.797 0.000
0.000 0.000 5.387
Rb Sr F Bi
2 1 1 1
Direct
0.500 0.000 0.000
0.000 0.000 0.500
0.000 0.500 0.000
0.000 0.000 0.000
0.500 0.500 0.500
```

Values from the calculation:
- Space group: P4/mmm (123)
- Final energy: -16.269 eV/f.u.
- N(E_F): 0.0000 states/eV per atom

An optimized crystal structure of NaInHg2Cl4. Source: the Alexandria database, functional PBE-GGA.

Cell and atoms, written as POSCAR:
```
NaInHg2Cl4
1.0
8.140 0.005 -0.008
0.003 8.133 0.003
-4.069 -4.060 4.939
Hg Na Cl In
2 1 4 1
Direct
0.486 0.987 0.972
0.237 0.236 0.472
0.986 0.486 0.972
0.753 0.653 0.740
0.820 0.486 0.206
0.985 0.086 0.737
0.385 0.718 0.203
0.736 0.736 0.472
```

Values from the calculation:
- Space group: P1 (1)
- Final energy: -19.492 eV/f.u.
- N(E_F): 0.0000 states/eV per atom

An optimized crystal structure of LaHo4Mg. Source: the Alexandria database, functional PBE-GGA.

Cell and atoms, written as POSCAR:
```
LaHo4Mg
1.0
-3.216 2.464 -3.659
-3.977 -9.935 -3.194
-2.810 -0.804 6.001
Ho Mg La
8 2 2
Direct
0.021 0.707 0.043
0.678 0.201 0.357
0.322 0.701 0.643
0.507 0.939 0.014
0.493 0.439 0.986
0.833 0.480 0.665
0.167 0.980 0.335
0.979 0.207 0.957
0.348 0.186 0.695
0.652 0.686 0.305
0.821 0.920 0.643
0.179 0.420 0.357
```

Values from the calculation:
- Space group: Cmc2_1 (36)
- Distance to the lowest polymorph of the same formula: 0.033 eV per atom
- Final energy: -24.652 eV/f.u.
- Energy of formation: 0.030 eV/atom
- N(E_F): 1.2802 states/eV per atom

An optimized crystal structure of Er6Co2Os. Source: the Alexandria database, functional PBE-GGA.

Cell and atoms, written as POSCAR:
```
Er6Co2Os
1.0
-5.513 -4.253 4.076
4.052 -4.767 -5.094
5.323 3.245 5.121
Er Os Co
12 2 4
Direct
0.815 0.258 0.072
0.561 0.737 0.823
0.439 0.263 0.177
0.185 0.258 0.443
0.815 0.742 0.557
0.689 0.017 0.329
0.185 0.742 0.928
0.689 0.360 0.671
0.914 0.737 0.177
0.311 0.640 0.329
0.086 0.263 0.823
0.311 0.983 0.671
0.000 0.000 0.000
0.000 0.500 0.500
0.662 0.000 0.662
0.500 0.614 0.114
0.500 0.386 0.886
0.338 0.000 0.338
```

Values from the calculation:
- Space group: Immm (71)
- Final energy: -54.804 eV/f.u.
- Energy of formation: -0.221 eV/atom
- N(E_F): 0.8738 states/eV per atom

An optimized crystal structure of TbPuS2. Source: the Alexandria database, functional PBE-GGA.

Cell and atoms, written as POSCAR:
```
TbPuS2
1.0
-1.892 -2.133 2.705
-2.947 -2.369 -1.071
2.598 -6.341 -0.329
Pu S Tb
1 2 1
Direct
0.000 0.000 0.000
0.249 0.249 0.252
0.751 0.751 0.748
0.500 0.500 0.500
```

Values from the calculation:
- Space group: R-3m (166)
- Distance to the lowest polymorph of the same formula: 0.000 eV per atom
- Final energy: -34.877 eV/f.u.
- N(E_F): 1.9257 states/eV per atom

An optimized crystal structure of BaNb3Mo. Source: the Alexandria database, functional PBE-GGA.

Cell and atoms, written as POSCAR:
```
BaNb3Mo
1.0
5.039 0.000 0.000
0.000 5.039 0.000
0.000 0.000 5.039
Ba Nb Mo
1 3 1
Direct
0.500 0.500 0.500
0.000 0.000 0.500
0.000 0.500 0.000
0.500 0.000 0.000
0.000 0.000 0.000
```

Values from the calculation:
- Space group: Pm-3m (221)
- Distance to the lowest polymorph of the same formula: 0.000 eV per atom
- Final energy: -37.591 eV/f.u.
- Energy of formation: 1.075 eV/atom
- N(E_F): 1.2451 states/eV per atom

An optimized crystal structure of LuZrSc2. Source: the Alexandria database, functional PBE-GGA.

Cell and atoms, written as POSCAR:
```
LuZrSc2
1.0
-2.607 2.727 2.635
-1.995 -3.744 1.901
3.271 -0.065 3.304
Lu Sc Zr
1 2 1
Direct
0.500 0.500 0.500
0.000 0.500 0.000
0.000 0.000 0.500
0.500 0.000 0.000
```

Values from the calculation:
- Space group: P4/mmm (123)
- Distance to the lowest polymorph of the same formula: 0.000 eV per atom
- Final energy: -25.523 eV/f.u.
- Energy of formation: 0.052 eV/atom
- N(E_F): 1.7020 states/eV per atom

An optimized crystal structure of KBa2GeH. Source: the Alexandria database, functional PBE-GGA.

Cell and atoms, written as POSCAR:
```
KBa2GeH
1.0
5.567 0.000 0.000
0.000 5.567 0.000
0.000 0.000 5.067
Ge Ba H K
1 2 1 1
Direct
0.500 0.500 0.500
0.000 0.500 0.000
0.500 0.000 0.000
0.000 0.000 0.000
0.000 0.000 0.500
```

Values from the calculation:
- Space group: P4/mmm (123)
- Final energy: -14.169 eV/f.u.
- N(E_F): 0.2025 states/eV per atom

An optimized crystal structure of Be2InSiBi. Source: the Alexandria database, functional PBE-GGA.

Cell and atoms, written as POSCAR:
```
Be2InSiBi
1.0
-3.892 1.903 0.159
-1.142 -2.744 4.907
1.704 3.298 2.240
Be Si Bi In
2 1 1 1
Direct
0.000 0.000 0.500
0.500 0.000 0.000
0.000 0.000 0.000
0.500 0.500 0.500
0.000 0.500 0.000
```

Values from the calculation:
- Space group: P4/mmm (123)
- Final energy: -16.225 eV/f.u.
- N(E_F): 0.5312 states/eV per atom